[1]
! PBE Ti3NbTe, optimized geometry; values from VASP
! Fermi-level density of states   0.846 states/eV/atom
! Formation energy from raw total energies   -41 meV/atom
! Offset from the most stable computed form   0.0 meV per atom
! Uncorrected energy   -74.2 eV per cell
&SYSTEM
  ibrav = 0, nat = 10, ntyp = 3
/
ATOMIC_SPECIES
Ti 47.87 Ti.upf
Nb 92.91 Nb.upf
Te 127.60 Te.upf
CELL_PARAMETERS angstrom
5.2855 -2.4731 0.0000
5.2855 2.4731 0.0000
-3.0670 0.0000 8.1081
ATOMIC_POSITIONS crystal
Ti 0.1043 0.1043 0.2812
Ti 0.3671 0.3671 0.8870
Ti 0.3685 0.3685 0.2185
Ti 0.6315 0.6315 0.7815
Ti 0.6329 0.6329 0.1130
Ti 0.8957 0.8957 0.7188
Nb 0.1332 0.1332 0.9722
Nb 0.8668 0.8668 0.0278
Te 0.3634 0.3634 0.5584
Te 0.6366 0.6366 0.4416

---

[2]
! PBE BaNa3O, optimized geometry; values from VASP
! Fermi-level density of states   5.876 states/eV/atom
! Formation energy from raw total energies   1070 meV/atom
! Offset from the most stable computed form   1392.0 meV per atom
! Uncorrected energy   -5.5 eV per cell
&SYSTEM
  ibrav = 0, nat = 5, ntyp = 3
/
ATOMIC_SPECIES
Ba 137.33 Ba.upf
Na 22.99 Na.upf
O 16.00 O.upf
CELL_PARAMETERS angstrom
7.2680 0.0000 0.0000
0.0000 7.2680 0.0000
0.0000 0.0000 7.2680
ATOMIC_POSITIONS crystal
Ba 0.0000 0.0000 0.0000
Na 0.0000 0.0000 0.5000
Na 0.0000 0.5000 0.0000
Na 0.5000 0.0000 0.0000
O 0.5000 0.5000 0.5000

---

[3]
! PBE NaCu4Cl8, optimized geometry; values from VASP
! Fermi-level density of states   1.508 states/eV/atom
! Formation energy from raw total energies   -635 meV/atom
! Uncorrected energy   -40.7 eV per cell
&SYSTEM
  ibrav = 0, nat = 13, ntyp = 3
/
ATOMIC_SPECIES
Na 22.99 Na.upf
Cu 63.55 Cu.upf
Cl 35.45 Cl.upf
CELL_PARAMETERS angstrom
3.5790 2.0664 6.6367
-3.5790 2.0664 6.6367
0.0000 -4.1327 6.6367
ATOMIC_POSITIONS crystal
Na 0.0000 0.0000 0.0000
Cu 0.0000 0.0000 0.5000
Cu 0.0000 0.5000 0.0000
Cu 0.5000 0.0000 0.0000
Cu 0.5000 0.5000 0.5000
Cl 0.2303 0.2303 0.2303
Cl 0.2381 0.7350 0.7350
Cl 0.2650 0.2650 0.7619
Cl 0.2650 0.7619 0.2650
Cl 0.7350 0.2381 0.7350
Cl 0.7350 0.7350 0.2381
Cl 0.7619 0.2650 0.2650
Cl 0.7697 0.7697 0.7697

---

[4]
! PBE PrDyIr, optimized geometry; values from VASP
! Fermi-level density of states   1.059 states/eV/atom
! Offset from the most stable computed form   22.6 meV per atom
! Uncorrected energy   -20.0 eV per cell
! ΔH_f (0 K)   -13.2 kcal/mol of atoms
&SYSTEM
  ibrav = 0, nat = 3, ntyp = 3
/
ATOMIC_SPECIES
Pr 140.91 Pr.upf
Dy 162.50 Dy.upf
Ir 192.22 Ir.upf
CELL_PARAMETERS angstrom
0.0000 3.4675 3.4675
3.4675 0.0000 3.4675
3.4675 3.4675 0.0000
ATOMIC_POSITIONS crystal
Pr 0.0000 0.0000 0.0000
Dy 0.5000 0.5000 0.5000
Ir 0.2500 0.2500 0.2500

---

[5]
! PBE CsP, optimized geometry; values from VASP
! Fermi-level density of states   0.510 states/eV/atom
! Uncorrected energy   -27.2 eV per cell
! ΔH_f (0 K)   -6.3 kcal/mol of atoms
&SYSTEM
  ibrav = 0, nat = 8, ntyp = 2
/
ATOMIC_SPECIES
Cs 132.91 Cs.upf
P 30.97 P.upf
CELL_PARAMETERS angstrom
-6.6885 6.6885 2.0211
6.6885 -6.6885 2.0211
6.6885 6.6885 -2.0211
ATOMIC_POSITIONS crystal
Cs 0.0000 0.2576 0.2576
Cs 0.0000 0.7424 0.7424
Cs 0.2576 0.0000 0.2576
Cs 0.7424 0.0000 0.7424
P 0.2780 0.2780 0.5561
P 0.2780 0.7220 0.0000
P 0.7220 0.2780 0.0000
P 0.7220 0.7220 0.4439

---

[6]
! PBE CaAcDy2, optimized geometry; values from VASP
! Fermi-level density of states   1.738 states/eV/atom
! Offset from the most stable computed form   0.0 meV per atom
! Uncorrected energy   -14.9 eV per cell
! ΔH_f (0 K)   2.2 kcal/mol of atoms
&SYSTEM
  ibrav = 0, nat = 4, ntyp = 3
/
ATOMIC_SPECIES
Ca 40.08 Ca.upf
Ac 227.00 Ac.upf
Dy 162.50 Dy.upf
CELL_PARAMETERS angstrom
1.8670 1.0779 12.1152
-1.8670 1.0779 12.1152
0.0000 -2.1558 12.1152
ATOMIC_POSITIONS crystal
Ca 0.0000 0.0000 0.0000
Ac 0.8342 0.8342 0.8342
Dy 0.2493 0.2493 0.2493
Dy 0.4184 0.4184 0.4184

---

[7]
! PBE NbPbC3, optimized geometry; values from VASP
! Fermi-level density of states   0.728 states/eV/atom
! Offset from the most stable computed form   1585.9 meV per atom
! Uncorrected energy   -24.9 eV per cell
! ΔH_f (0 K)   76.2 kcal/mol of atoms
&SYSTEM
  ibrav = 0, nat = 5, ntyp = 3
/
ATOMIC_SPECIES
Nb 92.91 Nb.upf
Pb 207.20 Pb.upf
C 12.01 C.upf
CELL_PARAMETERS angstrom
4.2607 0.0000 0.0000
0.0000 4.2607 0.0000
0.0000 0.0000 4.2607
ATOMIC_POSITIONS crystal
Nb 0.0000 0.0000 0.0000
Pb 0.5000 0.5000 0.5000
C 0.0000 0.5000 0.5000
C 0.5000 0.0000 0.5000
C 0.5000 0.5000 0.0000

---

[8]
! PBE GeWSe2Br, optimized geometry; values from VASP
! Fermi-level density of states   0.632 states/eV/atom
! Formation energy from raw total energies   1181 meV/atom
! Offset from the most stable computed form   700.0 meV per atom
! Uncorrected energy   -20.3 eV per cell
&SYSTEM
  ibrav = 0, nat = 5, ntyp = 4
/
ATOMIC_SPECIES
Ge 72.64 Ge.upf
W 183.84 W.upf
Se 78.96 Se.upf
Br 79.90 Br.upf
CELL_PARAMETERS angstrom
5.0638 0.0000 0.0000
0.0000 5.0638 0.0000
0.0000 0.0000 4.9276
ATOMIC_POSITIONS crystal
Ge 0.0000 0.0000 0.0000
W 0.5000 0.5000 0.5000
Se 0.0000 0.5000 0.0000
Se 0.5000 0.0000 0.0000
Br 0.0000 0.0000 0.5000